Here is a geometry-optimized Dy4Ge2I3 structure from Alexandria. Energies are from PBE-GGA.

## Properties
* DOS(E_F): 0.3188 states/eV per atom
* formation energy from raw total energies: -1.10 eV/atom
* mass density: 6.7 g cm⁻³
* total DFT energy (no corrections): -4.69 eV/atom
* calculated volume: 289.9 Å³/cell

CIF file:
```
data_Dy4Ge2I3
_chemical_formula_sum 'Dy4 Ge2 I3'
_space_group_name_H-M_alt 'P 1'
_space_group_IT_number 1
_cell_length_a 4.238
_cell_length_b 4.238
_cell_length_c 18.644
_cell_angle_alpha 90.02
_cell_angle_beta 89.98
_cell_angle_gamma 120.00
loop_
_space_group_symop_operation_xyz
'x,y,z'
loop_
_atom_site_label
_atom_site_fract_x
_atom_site_fract_y
_atom_site_fract_z
_atom_site_occupancy
I1 0.666 0.334 0.389 1
I2 0.334 0.666 0.611 1
I3 0.000 0.000 0.000 1
Dy1 0.000 0.000 0.282 1
Dy2 0.000 0.000 0.718 1
Dy3 0.333 0.667 0.879 1
Dy4 0.667 0.333 0.121 1
Ge1 0.333 0.667 0.197 1
Ge2 0.667 0.333 0.803 1
```